Below is a geometry-optimized Sr2CdOs structure, with properties calculated at the PBE-GGA level.

Summary:
spin magnetization = 0.00 μB per atom
energy relative to the elements = 0.529 eV/atom
E_tot = -3.348 eV/atom

abc: 4.7338 4.7338 9.2091
angles: 90.00 90.00 90.00
Last column: nearest neighbours and their distance in Å.
Space group I-4m2 (No. 119)
Unique sites:
Sr 0.0000 0.0000 0.0000 (multiplicity 2)  4 Cd 3.30, 4 Sr 3.30, 4 Os 3.35
Sr 0.0000 0.5000 0.2500 (multiplicity 2)  4 Os 3.30, 4 Sr 3.30, 4 Cd 3.35
Cd 0.0000 0.5000 0.7500 (multiplicity 2)  4 Os 3.30, 8 Sr 3.30-3.35
Os 0.0000 0.0000 0.5000 (multiplicity 2)  4 Cd 3.30, 8 Sr 3.30-3.35